(1)
This record from Alexandria via LeMat-Bulk describes a geometry-optimized ErSbPdPt structure. The functional is PBE-GGA.

Calculated values
formation energy without anion corrections = -0.8584 eV/atom
total energy = -23.35 eV per formula unit

```
data_ErSbPdPt
_chemical_formula_sum 'Er4 Sb4 Pd4 Pt4'
_space_group_name_H-M_alt 'F -4 3 m'
_space_group_IT_number 216
_space_group_name_Hall 'F -4 2 3'
_cell_length_a 6.7989
_cell_length_b 6.7989
_cell_length_c 6.7989
_cell_angle_alpha 90.00
_cell_angle_beta 90.00
_cell_angle_gamma 90.00
loop_
_atom_site_label
_atom_site_type_symbol
_atom_site_fract_x
_atom_site_fract_y
_atom_site_fract_z
_atom_site_occupancy
Er1 Er 0.0000 0.0000 0.0000 1
Sb1 Sb 0.0000 0.0000 0.5000 1
Pd1 Pd 0.2500 0.2500 0.7500 1
Pt1 Pt 0.2500 0.2500 0.2500 1
```



(2)
This record from Alexandria via LeMat-Bulk describes a geometry-optimized ErScPdPt structure. The functional is PBE-GGA.

Calculated values
energy of formation = -1.08 eV per atom
total energy = -26.44 eV per formula unit

```
data_ErScPdPt
_chemical_formula_sum 'Er4 Sc4 Pd4 Pt4'
_space_group_name_H-M_alt 'F -4 3 m'
_space_group_IT_number 216
_space_group_name_Hall 'F -4 2 3'
_cell_length_a 6.7827
_cell_length_b 6.7827
_cell_length_c 6.7827
_cell_angle_alpha 90.00
_cell_angle_beta 90.00
_cell_angle_gamma 90.00
loop_
_atom_site_label
_atom_site_type_symbol
_atom_site_fract_x
_atom_site_fract_y
_atom_site_fract_z
_atom_site_occupancy
Er1 Er 0.0000 0.0000 0.0000 1
Sc1 Sc 0.0000 0.0000 0.5000 1
Pd1 Pd 0.2500 0.2500 0.2500 1
Pt1 Pt 0.2500 0.2500 0.7500 1
```



(3)
This record from Alexandria via LeMat-Bulk describes a geometry-optimized ErSi2PdPt5 structure. The functional is PBE-GGA.

Calculated values
formation energy without anion corrections = -0.5494 eV/atom
total energy = -55.75 eV per formula unit

```
data_ErSi2PdPt5
_chemical_formula_sum 'Er1 Si2 Pd1 Pt5'
_space_group_name_H-M_alt 'P 4/m m m'
_space_group_IT_number 123
_space_group_name_Hall '-P 4 2'
_cell_length_a 3.9895
_cell_length_b 3.9895
_cell_length_c 10.9305
_cell_angle_alpha 90.00
_cell_angle_beta 90.00
_cell_angle_gamma 90.00
loop_
_atom_site_label
_atom_site_type_symbol
_atom_site_fract_x
_atom_site_fract_y
_atom_site_fract_z
_atom_site_occupancy
Er1 Er 0.0000 0.0000 0.0000 1
Si1 Si 0.5000 0.5000 0.2144 1
Pd1 Pd 0.0000 0.0000 0.5000 1
Pt1 Pt 0.0000 0.5000 0.3286 1
Pt2 Pt 0.5000 0.5000 0.0000 1
```